Entry from the Open Quantum Materials Database: a relaxed TlZnFeIr crystal (PBE).

The structure in CIF format:
```
data_TlZnFeIr
_space_group_name_H-M_alt 'P 1'
_space_group_IT_number 1
_cell_length_a 4.478
_cell_length_b 4.478
_cell_length_c 4.478
_cell_angle_alpha 60.00
_cell_angle_beta 60.00
_cell_angle_gamma 60.00
loop_
_space_group_symop_operation_xyz
'x,y,z'
loop_
_atom_site_label
_atom_site_fract_x
_atom_site_fract_y
_atom_site_fract_z
Tl1 0.000 0.000 0.000
Zn1 0.750 0.750 0.750
Fe1 0.250 0.250 0.250
Ir1 0.500 0.500 0.500
```

Calculated density   13543 kg/m³
VASP energy   -4.83 eV per atom
SG   F-43m

=====

Entry from the Open Quantum Materials Database: a relaxed NaLuSnPd crystal (PBE).

The structure in CIF format:
```
data_NaLuSnPd
_space_group_name_H-M_alt 'P 1'
_space_group_IT_number 1
_cell_length_a 4.989
_cell_length_b 4.989
_cell_length_c 4.989
_cell_angle_alpha 60.00
_cell_angle_beta 60.00
_cell_angle_gamma 60.00
loop_
_space_group_symop_operation_xyz
'x,y,z'
loop_
_atom_site_label
_atom_site_fract_x
_atom_site_fract_y
_atom_site_fract_z
Na1 0.000 0.000 0.000
Lu1 0.500 0.500 0.500
Sn1 0.750 0.750 0.750
Pd1 0.250 0.250 0.250
```

Calculated density   8000 kg/m³
VASP energy   -4.17 eV per atom
SG   F-43m

=====

Entry from the Open Quantum Materials Database: a relaxed YAlCoTc crystal (PBE).

The structure in CIF format:
```
data_YAlCoTc
_space_group_name_H-M_alt 'P 1'
_space_group_IT_number 1
_cell_length_a 4.588
_cell_length_b 4.588
_cell_length_c 4.588
_cell_angle_alpha 60.00
_cell_angle_beta 60.00
_cell_angle_gamma 60.00
loop_
_space_group_symop_operation_xyz
'x,y,z'
loop_
_atom_site_label
_atom_site_fract_x
_atom_site_fract_y
_atom_site_fract_z
Y1 0.000 0.000 0.000
Al1 0.250 0.250 0.250
Co1 0.500 0.500 0.500
Tc1 0.750 0.750 0.750
```

Calculated density   6632 kg/m³
VASP energy   -6.67 eV per atom
SG   F-43m

=====

Entry from the Open Quantum Materials Database: a relaxed RbYCo crystal (PBE).

The structure in CIF format:
```
data_RbYCo
_space_group_name_H-M_alt 'P 1'
_space_group_IT_number 1
_cell_length_a 5.108
_cell_length_b 5.108
_cell_length_c 5.108
_cell_angle_alpha 60.00
_cell_angle_beta 60.00
_cell_angle_gamma 60.00
loop_
_space_group_symop_operation_xyz
'x,y,z'
loop_
_atom_site_label
_atom_site_fract_x
_atom_site_fract_y
_atom_site_fract_z
Rb1 0.000 0.000 0.000
Y1 0.250 0.250 0.250
Co1 0.750 0.750 0.750
```

Calculated density   4112 kg/m³
VASP energy   -3.11 eV per atom
SG   F-43m

=====

Entry from the Open Quantum Materials Database: a relaxed PaAu crystal (PBE).

The structure in CIF format:
```
data_PaAu
_space_group_name_H-M_alt 'P 1'
_space_group_IT_number 1
_cell_length_a 4.204
_cell_length_b 4.204
_cell_length_c 4.204
_cell_angle_alpha 60.00
_cell_angle_beta 60.00
_cell_angle_gamma 60.00
loop_
_space_group_symop_operation_xyz
'x,y,z'
loop_
_atom_site_label
_atom_site_fract_x
_atom_site_fract_y
_atom_site_fract_z
Pa1 0.000 0.000 0.000
Au1 0.500 0.500 0.500
```

Calculated density   13527 kg/m³
VASP energy   -6.37 eV per atom
SG   Fm-3m
DFT formation energy   0.0 eV/f.u.

=====

Entry from the Open Quantum Materials Database: a relaxed ZrAlOs crystal (PBE).

The structure in CIF format:
```
data_ZrAlOs
_space_group_name_H-M_alt 'P 1'
_space_group_IT_number 1
_cell_length_a 6.543
_cell_length_b 4.392
_cell_length_c 7.284
_cell_angle_alpha 90.00
_cell_angle_beta 90.00
_cell_angle_gamma 90.00
loop_
_space_group_symop_operation_xyz
'x,y,z'
loop_
_atom_site_label
_atom_site_fract_x
_atom_site_fract_y
_atom_site_fract_z
Zr1 0.011 0.250 0.194
Zr2 0.489 0.750 0.694
Zr3 0.511 0.250 0.306
Zr4 0.989 0.750 0.806
Al1 0.206 0.250 0.612
Al2 0.294 0.750 0.112
Al3 0.706 0.250 0.888
Al4 0.794 0.750 0.388
Os1 0.176 0.750 0.445
Os2 0.324 0.250 0.945
Os3 0.676 0.750 0.055
Os4 0.824 0.250 0.555
```

Calculated density   9787 kg/m³
VASP energy   -8.33 eV per atom
SG   Pnma

=====

Entry from the Open Quantum Materials Database: a relaxed ZrTc crystal (PBE).

The structure in CIF format:
```
data_ZrTc
_space_group_name_H-M_alt 'P 1'
_space_group_IT_number 1
_cell_length_a 3.264
_cell_length_b 3.264
_cell_length_c 6.712
_cell_angle_alpha 90.00
_cell_angle_beta 90.00
_cell_angle_gamma 90.13
loop_
_space_group_symop_operation_xyz
'x,y,z'
loop_
_atom_site_label
_atom_site_fract_x
_atom_site_fract_y
_atom_site_fract_z
Zr1 0.250 0.750 0.856
Zr2 0.750 0.250 0.144
Tc1 0.250 0.750 0.393
Tc2 0.750 0.250 0.607
```

Calculated density   8786 kg/m³
VASP energy   -9.50 eV per atom
SG   Cmme
DFT formation energy   -0.1 eV/f.u.

=====

Entry from the Open Quantum Materials Database: a relaxed PtO crystal (PBE).

The structure in CIF format:
```
data_PtO
_space_group_name_H-M_alt 'P 1'
_space_group_IT_number 1
_cell_length_a 3.260
_cell_length_b 3.260
_cell_length_c 5.397
_cell_angle_alpha 90.00
_cell_angle_beta 90.00
_cell_angle_gamma 120.00
loop_
_space_group_symop_operation_xyz
'x,y,z'
loop_
_atom_site_label
_atom_site_fract_x
_atom_site_fract_y
_atom_site_fract_z
Pt1 0.000 0.000 0.000
Pt2 0.000 0.000 0.500
O1 0.333 0.667 0.250
O2 0.667 0.333 0.750
```

Calculated density   14116 kg/m³
VASP energy   -4.95 eV per atom
SG   P6_3/mmc